i | Si2PbSe after structural relaxation, computed with PBE.

Cell: 5.234 3.930 4.652 Å, 87.39 90.00 90.00°
Positions (direct):
Pb (0.500, 0.250, 0.250)
Se (0.500, 0.750, 0.750)
Si (0.000, 0.984, 0.903)
Si (0.000, 0.516, 0.597)

***

ii | Si2PbSe after structural relaxation, computed with PBE.

Cell: 4.933 4.933 4.933 Å, 60.00 60.00 60.00°
Positions (direct):
Pb (0.500, 0.500, 0.500)
Se (0.750, 0.750, 0.750)
Si (0.000, 0.000, 0.000)
Si (0.250, 0.250, 0.250)

***

iii | Si2PbSe after structural relaxation, computed with PBE.

Cell: 3.681 3.680 7.021 Å, 90.00 90.00 90.00°
Positions (direct):
Pb (0.000, 0.000, 0.541)
Se (0.500, 0.500, 0.742)
Si (0.000, 0.000, 0.126)
Si (0.500, 0.500, 0.091)

***

Of them, iii has the highest stability.

***

i | Si2PbSe after structural relaxation, computed with PBE.

Cell: 6.154 6.154 5.118 Å, 71.25 71.25 36.17°
Positions (direct):
Pb (0.750, 0.750, 0.750)
Se (0.250, 0.250, 0.250)
Si (0.053, 0.053, 0.139)
Si (0.447, 0.447, 0.361)

***

ii | Si2PbSe after structural relaxation, computed with PBE.

Cell: 5.714 5.714 5.714 Å, 144.49 125.80 66.49°
Positions (direct):
Pb (0.750, 0.250, 0.500)
Se (0.250, 0.750, 0.500)
Si (0.030, 0.030, 0.000)
Si (0.470, 0.470, 0.000)

***

Of them, i has the highest stability.

***

i | Si2PbSe after structural relaxation, computed with PBE.

Cell: 6.248 6.248 4.935 Å, 66.43 66.43 32.14°
Positions (direct):
Pb (0.446, 0.446, 0.539)
Se (0.245, 0.245, 0.263)
Si (0.095, 0.095, 0.785)
Si (0.714, 0.714, 0.913)

***

ii | Si2PbSe after structural relaxation, computed with PBE.

Cell: 3.539 5.003 7.032 Å, 43.86 90.00 90.00°
Positions (direct):
Pb (0.500, 0.500, 0.500)
Se (0.000, 0.000, 0.500)
Si (0.000, 0.000, 0.000)
Si (0.500, 0.500, 0.000)

***

Of them, i has the highest stability.